Record 1
First-principles (PBE) data for a relaxed structure of Co12Re, as listed in OQMD via LeMat-Bulk.

Lattice parameters (Å, degrees): 4.5640 4.5640 24.6328 90.00 90.00 120.00
With the nearest neighbours (Å) after each atom.
Space group R-3m (No. 166, hexagonal axes)
Symmetry-distinct sites (fractional):
Co 0.0000 0.0000 0.0457 (multiplicity 6)  7 Co 2.25-2.49
Co 0.0000 0.0000 0.1503 (multiplicity 6)  13 Co 2.58-2.78, 3 Re 2.67
Co 0.0000 0.0000 0.3364 (multiplicity 6)  9 Co 2.44-2.64
Co 0.0064 0.5032 0.9141 (multiplicity 18)  7 Co 2.24-2.49, 1 Re 2.40
Re 0.0000 0.0000 0.5000 (multiplicity 3)  12 Co 2.40-2.67

Energy of formation ... 0.18 eV per atom

---

Record 2
First-principles (PBE) data for a relaxed structure of SmSnNO, as listed in OQMD via LeMat-Bulk.

Lattice parameters (Å, degrees): 3.4748 6.3684 6.0862 90.00 90.00 90.00
With the nearest neighbours (Å) after each atom.
Space group Pmc2_1 (No. 26)
Symmetry-distinct sites (fractional):
Sm 0.0000 0.1131 0.0000 (multiplicity 2)  2 N 2.34-2.38, 4 O 2.39-2.62
Sn 0.5000 0.3801 0.4924 (multiplicity 2)  2 N 2.12, 1 O 2.28
N 0.0000 0.2366 0.3625 (multiplicity 2)  2 Sn 2.12, 1 Sm 2.34
O 0.5000 0.1031 0.7303 (multiplicity 2)  1 Sn 2.28, 2 Sm 2.39

Relative energy among the computed polymorphs ... 4.53 kcal/mol of atoms

---

Record 3
First-principles (PBE) data for a relaxed structure of WBr, as listed in OQMD via LeMat-Bulk.

Lattice parameters (Å, degrees): 3.0178 3.0178 4.5322 90.00 90.00 120.00
With the nearest neighbours (Å) after each atom.
Space group P-6m2 (No. 187)
Symmetry-distinct sites (fractional):
W 0.0000 0.0000 0.0000 (multiplicity 1)  6 Br 2.86, 6 W 3.02
Br 0.3333 0.6667 0.5000 (multiplicity 1)  6 W 2.86, 6 Br 3.02

Relative energy among the computed polymorphs ... 0.00 kcal/mol of atoms

---

Record 4
First-principles (PBE) data for a relaxed structure of GdIrNO, as listed in OQMD via LeMat-Bulk.

Lattice parameters (Å, degrees): 5.5304 7.9354 5.2458 90.00 90.00 90.00
With the nearest neighbours (Å) after each atom.
Space group Pca2_1 (No. 29)
Symmetry-distinct sites (fractional):
Gd 0.0228 0.1453 0.0000 (multiplicity 4)  4 O 2.22-2.25, 1 N 2.48
Ir 0.0804 0.4748 0.6734 (multiplicity 4)  3 N 2.03-2.06
N 0.1341 0.3495 0.3393 (multiplicity 4)  3 Ir 2.03-2.06
O 0.2501 0.9796 0.2470 (multiplicity 4)  4 Gd 2.22-2.25

Relative energy among the computed polymorphs ... 0.00 kcal/mol of atoms

---

no.,total moment (μB per formula unit),final energy (eV/atom)
1,17.26,-7.33
2,0.00,-6.90
3,0.01,-5.98
4,0.00,-8.21